[1]
Computed, not measured: Y2Re3Si5 after structural relaxation at the PBE level of DFT.

Unit cell a=10.996 b=10.996 c=5.530 alpha=90.00 beta=90.00 gamma=90.00
Space group P4/mnc (No. 128)
Symmetry-distinct sites (fractional):
1 Y 0.078 0.237 0.000 [8 per cell]
2 Re 0.000 0.500 0.250 [4 per cell]
3 Re 0.123 0.853 0.500 [8 per cell]
4 Si 0.000 0.000 0.243 [4 per cell]
5 Si 0.028 0.314 0.500 [8 per cell]
6 Si 0.172 0.672 0.250 [8 per cell]

Summary:
**Energy relative to the elements, uncorrected**: -5.944 eV/f.u.

---

[2]
Computed, not measured: Zn3ReSi after structural relaxation at the PBE level of DFT.

Unit cell a=4.567 b=4.567 c=4.567 alpha=90.00 beta=90.00 gamma=90.00
Space group Pm-3m (No. 221)
Symmetry-distinct sites (fractional):
1 Zn 0.000 0.000 0.500 [3 per cell]
2 Re 0.500 0.500 0.500 [1 per cell]
3 Si 0.000 0.000 0.000 [1 per cell]

Summary:
**Excess energy over the best structure of this formula in the dataset**: 106.6 meV/atom
**Energy relative to the elements, uncorrected**: 6.536 eV/f.u.

---

[3]
Computed, not measured: ZnRe2Si after structural relaxation at the PBE level of DFT.

Unit cell a=2.886 b=4.259 c=4.688 alpha=90.00 beta=90.00 gamma=90.00
Space group Pmmm (No. 47)
Symmetry-distinct sites (fractional):
1 Zn 0.000 0.000 0.000 [1 per cell]
2 Re 0.000 0.500 0.500 [1 per cell]
3 Re 0.500 0.500 0.000 [1 per cell]
4 Si 0.500 0.000 0.500 [1 per cell]

Summary:
**Energy relative to the elements, uncorrected**: 1.167 eV/f.u.